# 1
# Y2TmTl4

A geometry-optimized Y2TmTl4 structure (GGA-PBE, Alexandria).

Cell: 6.4650 6.4650 6.4650 Å, 108.32 110.05 110.05°
Sites, in units of the cell vectors:
1 Tm 0.0000 0.0000 0.0000
2 Y 0.5000 0.5000 0.0000
3 Y 0.5000 0.0000 0.5000
4 Tl 0.5000 0.0000 0.0000
5 Tl 0.0000 0.5000 0.0000
6 Tl 0.0000 0.0000 0.5000
7 Tl 0.5000 0.5000 0.5000

Output
ρ in kg/m3: 9297
Volume in Å³ per cell: 207.9
Total moment in μB per atom: 0.000
Total energy in eV/f.u.: -28.51
Calculated formation energy in eV per atom: -0.236

---

# 2
# KLaCu2

A geometry-optimized KLaCu2 structure (GGA-PBE, Alexandria).

Cell: 4.1960 4.1960 8.5870 Å, 75.92 75.92 59.97°
Sites, in units of the cell vectors:
1 K 0.7500 0.7500 0.7500
2 Cu 0.9856 0.9856 0.0420
3 Cu 0.5144 0.5144 0.4580
4 La 0.2500 0.2500 0.2500

Output
ρ in kg/m3: 4033
Volume in Å³ per cell: 125.6
Energy relative to the lowest polymorph listed for this composition in meV per atom: 189.1
Total moment in μB per atom: 0.000
Total energy in eV/f.u.: -13.13
Calculated formation energy in eV per atom: 0.273

---

# 3
# TaAgHg2

A geometry-optimized TaAgHg2 structure (GGA-PBE, Alexandria).

Cell: 4.8051 4.8051 4.8051 Å, 60.00 60.00 60.00°
Sites, in units of the cell vectors:
1 Ag 0.5000 0.5000 0.5000
2 Hg 0.0000 0.0000 0.0000
3 Hg 0.7500 0.7500 0.7500
4 Ta 0.2500 0.2500 0.2500

Output
ρ in kg/m3: 14605
Volume in Å³ per cell: 78.5
Total moment in μB per atom: 0.000
Total energy in eV/f.u.: -12.73
Calculated formation energy in eV per atom: 0.645

---

# 4
# CoIr6Os

A geometry-optimized CoIr6Os structure (GGA-PBE, Alexandria).

Cell: 3.8315 3.8315 7.6586 Å, 90.00 90.00 90.00°
Sites, in units of the cell vectors:
1 Ir 0.5000 0.0000 0.7517
2 Ir 0.0000 0.5000 0.7517
3 Ir 0.5000 0.0000 0.2483
4 Ir 0.5000 0.5000 0.5000
5 Ir 0.5000 0.5000 0.0000
6 Ir 0.0000 0.5000 0.2483
7 Co 0.0000 0.0000 0.0000
8 Os 0.0000 0.0000 0.5000

Output
ρ in kg/m3: 20713
Volume in Å³ per cell: 112.4
Energy relative to the lowest polymorph listed for this composition in meV per atom: 2.6
Total moment in μB per atom: 0.000
Total energy in eV/f.u.: -71.45
Calculated formation energy in eV per atom: 0.006

---

# 5
# Yb4Bi3

A geometry-optimized Yb4Bi3 structure (GGA-PBE, Alexandria).

Cell: 8.3036 8.3036 8.3036 Å, 109.47 109.47 109.47°
Last column: magnetic moment on the atom in μB.
Sites, in units of the cell vectors:
1 Yb 0.8522 0.8522 0.8522  0.27
2 Yb 0.5000 0.0000 0.6478  0.27
3 Yb 0.0000 0.6478 0.5000  0.27
4 Yb 0.3522 0.3522 0.3522  0.27
5 Yb 0.6478 0.5000 0.0000  0.27
6 Yb 0.0000 0.1478 0.5000  0.27
7 Yb 0.5000 0.0000 0.1478  0.27
8 Yb 0.1478 0.5000 0.0000  0.27
9 Bi 0.3750 0.6250 0.7500  0.02
10 Bi 0.1250 0.8750 0.2500  0.02
11 Bi 0.2500 0.1250 0.8750  0.02
12 Bi 0.6250 0.7500 0.3750  0.02
13 Bi 0.7500 0.3750 0.6250  0.02
14 Bi 0.8750 0.2500 0.1250  0.02

Output
ρ in kg/m3: 9940
Volume in Å³ per cell: 440.7
Total moment in μB per atom: 0.166
Total energy in eV/f.u.: -23.83
Calculated formation energy in eV per atom: -0.869

---

# 6
# TeW2Cl

A geometry-optimized TeW2Cl structure (GGA-PBE, Alexandria).

Cell: 4.5346 2.8726 5.9609 Å, 97.92 90.00 90.00°
Sites, in units of the cell vectors:
1 Te 0.5000 0.7500 0.7500
2 W 0.0000 0.4459 0.4568
3 W 0.0000 0.0541 0.0432
4 Cl 0.5000 0.2500 0.2500

Output
ρ in kg/m3: 11459
Volume in Å³ per cell: 76.9
Formation energy (no corrections) in kJ/mol of formula units: 389
Energy relative to the lowest polymorph listed for this composition in meV per atom: 923.0
Total moment in μB per atom: 0.000
Total energy in eV/f.u.: -26.86

---

# 7
# ZnNiAs

A geometry-optimized ZnNiAs structure (GGA-PBE, Alexandria).

Cell: 3.9584 3.9584 3.4245 Å, 90.00 90.00 120.00°
Sites, in units of the cell vectors:
1 As 0.0000 0.0000 0.1660
2 Ni 0.3333 0.6667 0.1690
3 Zn 0.6667 0.3333 0.6650

Output
ρ in kg/m3: 7112
Volume in Å³ per cell: 46.5
Total moment in μB per atom: 0.000
Total energy in eV/f.u.: -11.67
Calculated formation energy in eV per atom: 0.012

---

# 8
# CePrDyPb

A geometry-optimized CePrDyPb structure (GGA-PBE, Alexandria).

Cell: 5.5260 5.5260 5.5260 Å, 60.00 60.00 60.00°
Last column: magnetic moment on the atom in μB.
Sites, in units of the cell vectors:
1 Pb 0.2500 0.2500 0.2500  -0.01
2 Ce 0.7500 0.7500 0.7500  0.54
3 Pr 0.5000 0.5000 0.5000  -0.01
4 Dy 0.0000 0.0000 0.0000  -0.01

Output
ρ in kg/m3: 9056
Volume in Å³ per cell: 119.3
Total moment in μB per atom: 0.128
Total energy in eV/f.u.: -19.32
Calculated formation energy in eV per atom: -0.073